1.
VASP calculation (GGA-PBE) on a relaxed structure of La3Pm4Pr2.

Summary:
Final energy, eV/atom: -4.7377
Polymorph energy (0 for the lowest one), meV/atom: 17
ΔE_f, eV/atom: 0.0783
Total moment, μB/cell: 0.00

Cell lengths 6.640, 6.640, 9.431 Å; angles 101.24, 101.24, 52.98 degrees
Fractional coordinates of all 9 atoms:
La  0.000  0.000  0.000
La  0.119  0.119  0.689
La  0.881  0.881  0.311
Pm  0.229  0.229  0.372
Pm  0.320  0.320  0.041
Pm  0.680  0.680  0.959
Pm  0.771  0.771  0.628
Pr  0.435  0.435  0.700
Pr  0.565  0.565  0.300

2.
VASP calculation (GGA-PBE) on a relaxed structure of La3Pm5Pr2.

Summary:
Final energy, eV/atom: -4.6527
ΔE_f, eV/atom: 0.1567
Total moment, μB/cell: 0.00

Cell lengths 10.309, 10.309, 9.249 Å; angles 108.62, 108.62, 115.24 degrees
Fractional coordinates of all 20 atoms:
La  0.021  0.271  0.044
La  0.224  0.776  0.750
La  0.271  0.021  0.544
La  0.729  0.979  0.456
La  0.776  0.224  0.250
La  0.979  0.729  0.956
Pm  0.027  0.973  0.750
Pm  0.132  0.372  0.754
Pm  0.277  0.723  0.250
Pm  0.372  0.132  0.254
Pm  0.469  0.531  0.250
Pm  0.531  0.469  0.750
Pm  0.628  0.868  0.746
Pm  0.723  0.277  0.750
Pm  0.868  0.628  0.246
Pm  0.973  0.027  0.250
Pr  0.235  0.480  0.465
Pr  0.480  0.235  0.965
Pr  0.520  0.765  0.035
Pr  0.765  0.520  0.535

3.
VASP calculation (GGA-PBE) on a relaxed structure of LaPmPr2.

Summary:
Final energy, eV/atom: -4.7961
Polymorph energy (0 for the lowest one), meV/atom: 2
ΔE_f, eV/atom: 0.0132
Total moment, μB/cell: 0.00

Cell lengths 12.321, 12.321, 12.321 Å; angles 17.30, 17.30, 17.30 degrees
Fractional coordinates of all 4 atoms:
La  0.000  0.000  0.000
Pm  0.500  0.500  0.500
Pr  0.249  0.249  0.249
Pr  0.751  0.751  0.751

4.
VASP calculation (GGA-PBE) on a relaxed structure of La2Pm7Pr3.

Summary:
Final energy, eV/atom: -4.7070
Polymorph energy (0 for the lowest one), meV/atom: 11
ΔE_f, eV/atom: 0.0803
Total moment, μB/cell: 0.00

Cell lengths 6.037, 3.668, 19.408 Å; angles 90.00, 93.14, 90.00 degrees
Fractional coordinates of all 12 atoms:
La  0.213  0.000  0.295
La  0.787  0.000  0.705
Pm  0.190  0.500  0.143
Pm  0.244  0.000  0.464
Pm  0.309  0.000  0.827
Pm  0.500  0.500  0.000
Pm  0.691  0.000  0.173
Pm  0.756  0.000  0.536
Pm  0.810  0.500  0.857
Pr  0.000  0.000  0.000
Pr  0.276  0.500  0.632
Pr  0.724  0.500  0.368